No. 1
## Y2TcPb (PBE)

Data for a geometry-optimized Y2TcPb structure.

E_form: -4.8 kcal/mol of atoms
Symmetry: P2/m
Mass density: 8183 kg/m³
Volume: 98.0 Å³ per cell
VASP energy: -27.84 eV for the cell shown

a = 3.5854 Å, b = 3.5784 Å, c = 7.6396 Å
α = 90.00°, β = 90.23°, γ = 90.00°
Last column: nearest neighbours and their distance in Å.
Fractional coordinates of all 4 atoms:
Y  0.0033  0.0000  0.2884  4 Tc 2.99-3.02, 1 Y 3.23
Y  0.9967  0.0000  0.7116  4 Tc 2.99-3.02, 1 Y 3.23
Tc  0.5000  0.5000  0.5000  8 Y 2.99-3.02
Pb  0.5000  0.5000  0.0000  8 Y 3.36, 4 Pb 3.58-3.59

---

No. 2
## YTcPb2 (PBE)

Data for a geometry-optimized YTcPb2 structure.

E_form: 3.4 kcal/mol of atoms
Symmetry: P4/mmm
Polymorph energy (0 for the lowest one): 29 meV per atom
Mass density: 10832 kg/m³
Volume: 92.2 Å³ per cell
VASP energy: -23.66 eV for the cell shown

a = 3.5003 Å, b = 3.5003 Å, c = 7.5236 Å
α = 90.00°, β = 90.00°, γ = 90.00°
Last column: nearest neighbours and their distance in Å.
Fractional coordinates of all 4 atoms:
Y  0.0000  0.0000  0.0000  8 Pb 3.29, 4 Y 3.50
Tc  0.0000  0.0000  0.5000  8 Pb 2.94
Pb  0.5000  0.5000  0.2886  4 Tc 2.94, 1 Pb 3.18, 4 Y 3.29
Pb  0.5000  0.5000  0.7114  4 Tc 2.94, 1 Pb 3.18, 4 Y 3.29

---

No. 3
## YTcPb2 (PBE)

Data for a geometry-optimized YTcPb2 structure.

E_form: 5.1 kcal/mol of atoms
Symmetry: Cmmm
Polymorph energy (0 for the lowest one): 103 meV per atom
Mass density: 10484 kg/m³
Volume: 190.5 Å³ per cell
VASP energy: -46.73 eV for the cell shown

a = 6.4818 Å, b = 6.4905 Å, c = 4.5277 Å
α = 90.00°, β = 90.00°, γ = 90.00°
Last column: nearest neighbours and their distance in Å.
Fractional coordinates of all 8 atoms:
Y  0.0000  0.0000  0.0000  8 Pb 3.22, 4 Tc 3.24-3.25
Y  0.5000  0.5000  0.0000  8 Pb 3.22, 4 Tc 3.24-3.25
Tc  0.0000  0.5000  0.0000  8 Pb 3.22, 4 Y 3.24-3.25
Tc  0.5000  0.0000  0.0000  8 Pb 3.22, 4 Y 3.24-3.25
Pb  0.2500  0.2500  0.5000  4 Tc 3.22, 4 Y 3.22, 4 Pb 3.24-3.25
Pb  0.2500  0.7500  0.5000  4 Tc 3.22, 4 Y 3.22, 4 Pb 3.24-3.25
Pb  0.7500  0.2500  0.5000  4 Tc 3.22, 4 Y 3.22, 4 Pb 3.24-3.25
Pb  0.7500  0.7500  0.5000  4 Y 3.22, 4 Tc 3.22, 4 Pb 3.24-3.25